Entry 1
Computed, not measured: PrNdIrPt after structural relaxation at the PBE level of DFT.

Fermi-level density of states	0.61	states/eV per atom

abc: 3.985 4.412 5.842
angles: 90.00 109.94 90.00
Element x y z (fractional)
Nd  0.861  0.500  0.722
Pt  0.584  0.500  0.168
Pr  0.142  0.000  0.284
Ir  0.413  0.000  0.826

---

Entry 2
Computed, not measured: PrNdIrPt after structural relaxation at the PBE level of DFT.

Fermi-level density of states	0.54	states/eV per atom

abc: 5.078 5.078 5.078
angles: 60.00 60.00 60.00
Element x y z (fractional)
Pt  0.750  0.750  0.750
Ir  0.250  0.250  0.250
Pr  0.500  0.500  0.500
Nd  0.000  0.000  0.000

---

entry 1 is the most stable structure shown above.